No. 1
Here is an optimized crystal structure of Sm2Er3Sc4 from the Alexandria database. Energies are from PBE.

Computed properties:
Space group: No. 15
Energy relative to the elements, meV per atom: 110

a b c (Å): 5.8383 10.8375 10.8375
angles (deg): 61.69 62.94 62.94
With the nearest neighbours (Å) after each atom.
Fractional positions:
Er 0.2922 0.2598 0.0637  7 Sc 3.21-3.48, 2 Sm 3.36-3.39
Sm 0.4400 0.2300 0.5150  5 Sc 3.21-3.58, 4 Er 3.36-3.45
Er 0.2078 0.9363 0.7402  7 Sc 3.21-3.48, 2 Sm 3.36-3.39
Sc 0.8989 0.8637 0.5833  1 Sc 3.09, 3 Er 3.21-3.45, 2 Sm 3.28-3.29
Er 0.7078 0.7402 0.9363  7 Sc 3.21-3.48, 2 Sm 3.36-3.39
Sc 0.9352 0.1781 0.9090  3 Sc 3.13-3.32, 4 Er 3.21-3.33, 1 Sm 3.21
Sc 0.1011 0.1363 0.4167  1 Sc 3.09, 3 Er 3.21-3.45, 2 Sm 3.28-3.29
Sc 0.3989 0.5833 0.8637  1 Sc 3.09, 3 Er 3.21-3.45, 2 Sm 3.28-3.29
Er 0.2500 0.6061 0.3939  4 Sc 3.33-3.55, 6 Sm 3.42-3.69
Er 0.7500 0.3939 0.6061  4 Sc 3.33-3.55, 6 Sm 3.42-3.69
Sc 0.5648 0.0910 0.8219  3 Sc 3.13-3.32, 4 Er 3.21-3.33, 1 Sm 3.21
Sm 0.0600 0.4850 0.7700  5 Sc 3.21-3.58, 4 Er 3.36-3.45
Er 0.7922 0.0637 0.2598  7 Sc 3.21-3.48, 2 Sm 3.36-3.39
Sm 0.5600 0.7700 0.4850  5 Sc 3.21-3.58, 4 Er 3.36-3.45
Sc 0.4352 0.9090 0.1781  3 Sc 3.13-3.32, 4 Er 3.21-3.33, 1 Sm 3.21
Sc 0.0648 0.8219 0.0910  3 Sc 3.13-3.32, 4 Er 3.21-3.33, 1 Sm 3.21
Sm 0.9400 0.5150 0.2300  5 Sc 3.21-3.58, 4 Er 3.36-3.45
Sc 0.6011 0.4167 0.1363  1 Sc 3.09, 3 Er 3.21-3.45, 2 Sm 3.28-3.29

No. 2
Here is an optimized crystal structure of In3AgCl from the Alexandria database. Energies are from PBE.

Computed properties:
ΔE to the lowest computed polymorph, eV per formula unit: 0.000
Space group: No. 221

a b c (Å): 5.4066 5.4066 5.4066
angles (deg): 90.00 90.00 90.00
With the nearest neighbours (Å) after each atom.
Fractional positions:
In 0.0000 0.5000 0.0000  2 Ag 2.70
Cl 0.5000 0.5000 0.5000  12 In 3.82
Ag 0.0000 0.0000 0.0000  6 In 2.70
In 0.0000 0.0000 0.5000  2 Ag 2.70
In 0.5000 0.0000 0.0000  2 Ag 2.70

No. 3
Here is an optimized crystal structure of CdTcTeN2 from the Alexandria database. Energies are from PBE.

Computed properties:
ΔE to the lowest computed polymorph, eV per formula unit: 0.000
Space group: No. 123

a b c (Å): 3.9418 3.9418 5.8044
angles (deg): 90.00 90.00 90.00
With the nearest neighbours (Å) after each atom.
Fractional positions:
N 0.0000 0.5000 0.0000  2 Tc 1.97
Cd 0.5000 0.5000 0.5000  4 Te 2.79
Tc 0.0000 0.0000 0.0000  4 N 1.97
Te 0.0000 0.0000 0.5000  4 Cd 2.79, 2 Tc 2.90
N 0.5000 0.0000 0.0000  2 Tc 1.97

No. 4
Here is an optimized crystal structure of ThScOsRu from the Alexandria database. Energies are from PBE.

Computed properties:
Space group: No. 216
Energy relative to the elements, meV per atom: -388

a b c (Å): 4.8087 4.8087 4.8087
angles (deg): 60.00 60.00 60.00
With the nearest neighbours (Å) after each atom.
Fractional positions:
Th 0.7500 0.7500 0.7500  4 Ru 2.94, 4 Os 2.94
Ru 0.5000 0.5000 0.5000  4 Th 2.94, 4 Sc 2.94
Os 0.0000 0.0000 0.0000  4 Th 2.94, 4 Sc 2.94
Sc 0.2500 0.2500 0.2500  4 Os 2.94, 4 Ru 2.94

No. 5
Here is an optimized crystal structure of BaGdZnSn from the Alexandria database. Energies are from PBE.

Computed properties:
Space group: No. 216
Energy relative to the elements, meV per atom: -354

a b c (Å): 5.5899 5.5899 5.5899
angles (deg): 60.00 60.00 60.00
With the nearest neighbours (Å) after each atom.
Fractional positions:
Gd 0.0000 0.0000 0.0000  4 Sn 3.42, 4 Zn 3.42
Sn 0.2500 0.2500 0.2500  4 Ba 3.42, 4 Gd 3.42
Ba 0.5000 0.5000 0.5000  4 Zn 3.42, 4 Sn 3.42
Zn 0.7500 0.7500 0.7500  4 Ba 3.42, 4 Gd 3.42

No. 6
Here is an optimized crystal structure of AlOsN2F from the Alexandria database. Energies are from PBE.

Computed properties:
ΔE to the lowest computed polymorph, eV per formula unit: 0.327
Space group: No. 123

a b c (Å): 3.8894 3.8894 3.3633
angles (deg): 90.00 90.00 90.00
With the nearest neighbours (Å) after each atom.
Fractional positions:
N 0.0000 0.5000 0.0000  2 Al 1.94
N 0.5000 0.0000 0.0000  2 Al 1.94
F 0.0000 0.0000 0.5000  2 Al 1.68
Al 0.0000 0.0000 0.0000  2 F 1.68
Os 0.5000 0.5000 0.5000  8 N 2.57, 4 F 2.75

No. 7
Here is an optimized crystal structure of TlCdPb from the Alexandria database. Energies are from PBE.

Computed properties:
ΔE to the lowest computed polymorph, eV per formula unit: 0.256
Space group: No. 216
Energy relative to the elements, meV per atom: 111

a b c (Å): 5.1227 5.1227 5.1227
angles (deg): 60.00 60.00 60.00
With the nearest neighbours (Å) after each atom.
Fractional positions:
Tl 0.5000 0.5000 0.5000  4 Cd 3.14
Pb 0.0000 0.0000 0.0000  4 Cd 3.14
Cd 0.7500 0.7500 0.7500  4 Pb 3.14, 4 Tl 3.14

No. 8
Here is an optimized crystal structure of Li4TbEr3S8 from the Alexandria database. Energies are from PBE.

Computed properties:
Space group: No. 166
Energy, eV/atom: -5.5418

a b c (Å): 7.7833 7.6350 7.7819
angles (deg): 120.67 120.01 90.00
With the nearest neighbours (Å) after each atom.
Fractional positions:
Li 0.0000 0.0000 0.0000  6 S 2.73-2.74
S 0.2530 0.2503 0.0014  3 Li 2.71-2.74, 2 Er 2.72, 1 Tb 2.74
S 0.2504 0.2516 0.5009  3 Er 2.72, 3 Li 2.73
Tb 0.0000 0.5000 0.0000  6 S 2.74
S 0.7496 0.7484 0.4991  3 Er 2.72, 3 Li 2.73
S 0.7485 0.2503 0.0014  3 Li 2.71-2.74, 2 Er 2.72, 1 Tb 2.74
S 0.7470 0.7497 0.9986  3 Li 2.71-2.74, 2 Er 2.72, 1 Tb 2.74
S 0.2515 0.7497 0.9986  3 Li 2.71-2.74, 2 Er 2.72, 1 Tb 2.74
S 0.2515 0.7497 0.5030  3 Li 2.71-2.74, 2 Er 2.72, 1 Tb 2.74
Er 0.0000 0.5000 0.5000  6 S 2.72
Li 0.0000 0.0000 0.5000  6 S 2.73-2.74
Er 0.5000 0.5000 0.0000  6 S 2.72
Li 0.5000 0.0000 0.5000  6 S 2.73-2.74
Er 0.5000 0.5000 0.5000  6 S 2.72
S 0.7485 0.2503 0.4970  3 Li 2.71-2.74, 2 Er 2.72, 1 Tb 2.74
Li 0.5000 0.0000 0.0000  6 S 2.71